[1]
! MnCuBr2, optimized geometry, DFT PBEsol; values from VASP
! * DOS at the Fermi energy: 1.72 states/eV/cell
! * E_tot: -4.23 eV/atom
! * spin magnetization: 4.377 Bohr magnetons per cell
! * symmetry: No. 47
&SYSTEM
  ibrav = 0, nat = 4, ntyp = 3
/
ATOMIC_SPECIES
Mn 54.94 Mn.upf
Cu 63.55 Cu.upf
Br 79.90 Br.upf
CELL_PARAMETERS angstrom
3.6259 0.0000 0.0000
0.0000 3.6776 0.0000
0.0000 0.0000 5.9488
ATOMIC_POSITIONS crystal
Mn 0.0000 0.0000 0.0000
Cu 0.0000 0.5000 0.5000
Br 0.5000 0.0000 0.5000
Br 0.5000 0.5000 0.0000

***

[2]
! MnCu2Br, optimized geometry, DFT PBEsol; values from VASP
! * DOS at the Fermi energy: 1.39 states/eV/cell
! * E_tot: -4.56 eV/atom
! * spin magnetization: 3.870 Bohr magnetons per cell
! * symmetry: No. 65
&SYSTEM
  ibrav = 0, nat = 4, ntyp = 3
/
ATOMIC_SPECIES
Mn 54.94 Mn.upf
Cu 63.55 Cu.upf
Br 79.90 Br.upf
CELL_PARAMETERS angstrom
2.4903 -3.7770 0.0000
2.4903 3.7770 0.0000
0.0000 0.0000 3.1725
ATOMIC_POSITIONS crystal
Mn 0.0000 0.0000 0.0000
Cu 0.0000 0.5000 0.5000
Cu 0.5000 0.0000 0.5000
Br 0.5000 0.5000 0.0000